Here is a relaxed structure of MgPb3I from Alexandria. Energies are from PBE.

```
MgPb3I
1.0
5.680 0.000 0.000
0.000 5.680 0.000
0.000 0.000 5.680
Mg Pb I
1 3 1
direct
0.000 0.000 0.000 Mg
0.000 0.000 0.500 Pb
0.000 0.500 0.000 Pb
0.500 0.000 0.000 Pb
0.500 0.500 0.500 I
```

Calculated values
- Total DFT energy (no corrections): -2.569 eV/atom
- E above lowest polymorph: 0.0 meV per atom
- Formation energy (no corrections): 0.285 eV per atom